Entry 1:
A PBEsol-optimized structure of MgCoAsSe2. Source: the Alexandria database, functional meta-GGA SCAN.

ρ = 5.2 Mg/m³
Magnetization = 0.00 μB per cell
Fermi-level density of states = 3.32 states/eV/cell
Final energy = -16.424 eV/atom
Raw formation energy = 101 meV per atom

Cell: 4.221 4.900 4.900 Å, 90.00 90.00 90.00°
Fractional coordinates of all 5 atoms:
1 As 0.500 0.000 0.000
2 Co 0.000 0.000 0.000
3 Mg 0.500 0.500 0.500
4 Se 0.000 0.000 0.500
5 Se 0.000 0.500 0.000

---

Entry 2:
A PBEsol-optimized structure of La2NbPPd. Source: the Alexandria database, functional meta-GGA SCAN.

ρ = 6.2 Mg/m³
Formation energy from the elements = 0.349 eV per formula unit
Magnetization = 3.80 μB per cell
Fermi-level density of states = 3.52 states/eV/cell
Final energy = -32.433 eV/atom

Cell: 4.373 5.576 5.576 Å, 90.00 90.00 90.00°
Fractional coordinates of all 5 atoms:
1 P 0.500 0.000 0.000
2 Nb 0.500 0.500 0.500
3 Pd 0.000 0.000 0.000
4 La 0.000 0.000 0.500
5 La 0.000 0.500 0.000

---

Entry 3:
A PBEsol-optimized structure of GdReB4. Source: the Alexandria database, functional meta-GGA SCAN.

ρ = 10.4 Mg/m³
Formation energy from the elements = -3.550 eV per formula unit
Magnetization = 27.70 μB per cell
Fermi-level density of states = 5.49 states/eV/cell
Final energy = -27.197 eV/atom

Cell: 3.589 5.965 11.544 Å, 90.00 90.00 90.00°
Fractional coordinates of all 24 atoms:
1 Gd 0.000 0.626 0.350
2 Gd 0.000 0.374 0.650
3 Gd 0.000 0.126 0.150
4 Gd 0.000 0.874 0.850
5 Re 0.000 0.632 0.087
6 Re 0.000 0.368 0.913
7 Re 0.000 0.132 0.413
8 Re 0.000 0.868 0.587
9 B 0.500 0.787 0.185
10 B 0.500 0.213 0.815
11 B 0.500 0.287 0.315
12 B 0.500 0.713 0.685
13 B 0.500 0.863 0.032
14 B 0.500 0.137 0.968
15 B 0.500 0.363 0.468
16 B 0.500 0.637 0.532
17 B 0.500 0.886 0.453
18 B 0.500 0.114 0.547
19 B 0.500 0.386 0.047
20 B 0.500 0.614 0.953
21 B 0.500 0.977 0.308
22 B 0.500 0.023 0.692
23 B 0.500 0.477 0.192
24 B 0.500 0.523 0.808

---

Entry 4:
A PBEsol-optimized structure of Rb2In2Sb3. Source: the Alexandria database, functional meta-GGA SCAN.

ρ = 5.0 Mg/m³
Magnetization = 0.00 μB per cell
Final energy = -31.867 eV/atom
Raw formation energy = -433 meV per atom

Cell: 7.557 15.529 17.273 Å, 90.59 90.00 90.00°
Fractional coordinates of all 56 atoms:
1 Rb 0.029 0.142 0.993
2 Rb 0.529 0.858 0.507
3 Rb 0.971 0.858 0.007
4 Rb 0.471 0.142 0.493
5 Rb 0.454 0.653 0.021
6 Rb 0.954 0.347 0.479
7 Rb 0.546 0.347 0.979
8 Rb 0.046 0.653 0.521
9 Rb 0.468 0.924 0.112
10 Rb 0.968 0.076 0.388
11 Rb 0.532 0.076 0.888
12 Rb 0.032 0.924 0.612
13 Rb 0.053 0.444 0.897
14 Rb 0.553 0.556 0.603
15 Rb 0.947 0.556 0.103
16 Rb 0.447 0.444 0.397
17 In 0.719 0.684 0.832
18 In 0.219 0.316 0.668
19 In 0.281 0.316 0.168
20 In 0.781 0.684 0.332
21 In 0.212 0.093 0.729
22 In 0.712 0.907 0.771
23 In 0.788 0.907 0.271
24 In 0.288 0.093 0.229
25 In 0.235 0.819 0.823
26 In 0.735 0.181 0.677
27 In 0.765 0.181 0.177
28 In 0.265 0.819 0.323
29 In 0.236 0.594 0.759
30 In 0.736 0.406 0.741
31 In 0.764 0.406 0.241
32 In 0.264 0.594 0.259
33 Sb 0.536 0.024 0.671
34 Sb 0.036 0.976 0.829
35 Sb 0.464 0.976 0.329
36 Sb 0.964 0.024 0.171
37 Sb 0.555 0.836 0.906
38 Sb 0.055 0.164 0.594
39 Sb 0.445 0.164 0.094
40 Sb 0.945 0.836 0.406
41 Sb 0.066 0.671 0.891
42 Sb 0.566 0.329 0.609
43 Sb 0.934 0.329 0.109
44 Sb 0.434 0.671 0.391
45 Sb 0.165 0.750 0.174
46 Sb 0.665 0.250 0.326
47 Sb 0.835 0.250 0.826
48 Sb 0.335 0.750 0.674
49 Sb 0.535 0.523 0.838
50 Sb 0.035 0.477 0.662
51 Sb 0.465 0.477 0.162
52 Sb 0.965 0.523 0.338
53 Sb 0.786 0.751 0.179
54 Sb 0.286 0.249 0.321
55 Sb 0.214 0.249 0.821
56 Sb 0.714 0.751 0.679